Model w:
DFT (PBE) results for an optimized crystal structure of Tl2CdAg.

Unit cell a=3.342 b=3.342 c=9.120 alpha=90.00 beta=90.00 gamma=90.00
Positions (direct):
Tl  0.000  0.000  0.979
Tl  0.500  0.500  0.288
Ag  0.000  0.000  0.522
Cd  0.500  0.500  0.711

Space group   No. 99
Crystal system   tetragonal

Model x:
DFT (PBE) results for an optimized crystal structure of Tl2CdAg.

Unit cell a=5.212 b=3.320 c=5.948 alpha=82.56 beta=90.00 gamma=90.00
Positions (direct):
Tl  0.000  0.015  0.007
Tl  0.000  0.485  0.493
Ag  0.500  0.250  0.250
Cd  0.500  0.750  0.750

Space group   No. 10
Crystal system   monoclinic

Referenced to the most stable arrangement, the calculated values in meV/atom are model w 0; model x 70.

Model w:
DFT (PBE) results for an optimized crystal structure of Tl2CdAg.

Unit cell a=3.876 b=5.186 c=5.094 alpha=90.00 beta=90.00 gamma=90.00
Positions (direct):
Tl  0.000  0.000  0.000
Tl  0.500  0.500  0.000
Ag  0.500  0.000  0.500
Cd  0.000  0.500  0.500

Space group   No. 47
Crystal system   orthorhombic

Model x:
DFT (PBE) results for an optimized crystal structure of Tl2CdAg.

Unit cell a=5.525 b=5.525 c=5.525 alpha=127.89 beta=127.89 gamma=76.81
Positions (direct):
Tl  0.000  0.000  0.000
Tl  0.500  0.500  0.000
Ag  0.250  0.750  0.500
Cd  0.750  0.250  0.500

Space group   No. 139
Crystal system   tetragonal

Referenced to the most stable arrangement, the calculated values in meV/atom are model w 10; model x 0.

Model w:
DFT (PBE) results for an optimized crystal structure of Tl2CdAg.

Unit cell a=5.238 b=5.238 c=5.238 alpha=60.00 beta=60.00 gamma=60.00
Positions (direct):
Tl  0.000  0.000  0.000
Tl  0.250  0.250  0.250
Ag  0.500  0.500  0.500
Cd  0.750  0.750  0.750

Space group   No. 216
Crystal system   cubic

Model x:
DFT (PBE) results for an optimized crystal structure of Tl2CdAg.

Unit cell a=4.883 b=3.550 c=6.190 alpha=72.22 beta=90.00 gamma=90.00
Positions (direct):
Tl  0.000  0.953  0.954
Tl  0.500  0.295  0.304
Ag  0.000  0.691  0.482
Cd  0.500  0.561  0.760

Space group   No. 6
Crystal system   monoclinic

Model y:
DFT (PBE) results for an optimized crystal structure of Tl2CdAg.

Unit cell a=5.864 b=5.864 c=5.864 alpha=134.40 beta=134.40 gamma=66.47
Positions (direct):
Tl  0.000  0.000  0.000
Tl  0.250  0.750  0.500
Ag  0.500  0.500  0.000
Cd  0.750  0.250  0.500

Space group   No. 119
Crystal system   tetragonal

Referenced to the most stable arrangement, the calculated values in meV/atom are model w 50; model x 0; model y 32.

Model w:
DFT (PBE) results for an optimized crystal structure of Tl2CdAg.

Unit cell a=8.355 b=8.355 c=6.688 alpha=51.34 beta=51.34 gamma=90.00
Positions (direct):
Tl  0.606  0.125  0.250
Tl  0.144  0.625  0.250
Tl  0.375  0.394  0.750
Tl  0.875  0.856  0.750
Ag  0.500  0.500  0.000
Ag  0.250  0.750  0.500
Cd  0.000  0.000  0.000
Cd  0.750  0.250  0.500

Space group   No. 122
Crystal system   tetragonal

Model x:
DFT (PBE) results for an optimized crystal structure of Tl2CdAg.

Unit cell a=6.386 b=6.386 c=5.402 alpha=67.98 beta=67.98 gamma=30.31
Positions (direct):
Tl  0.992  0.992  0.020
Tl  0.775  0.775  0.713
Ag  0.511  0.511  0.506
Cd  0.222  0.222  0.261

Space group   No. 8
Crystal system   monoclinic

Referenced to the most stable arrangement, the calculated values in meV/atom are model w 82; model x 0.

Model w:
DFT (PBE) results for an optimized crystal structure of Tl2CdAg.

Unit cell a=7.557 b=7.557 c=7.557 alpha=154.89 beta=143.44 gamma=44.87
Positions (direct):
Tl  0.937  0.937  0.000
Tl  0.563  0.563  0.000
Ag  0.750  0.250  0.500
Cd  0.250  0.750  0.500

Space group   No. 71
Crystal system   orthorhombic

Model x:
DFT (PBE) results for an optimized crystal structure of Tl2CdAg.

Unit cell a=5.952 b=6.173 c=3.287 alpha=78.23 beta=82.59 gamma=116.60
Positions (direct):
Tl  0.000  0.000  0.000
Tl  0.500  0.000  0.500
Ag  0.000  0.500  0.500
Cd  0.500  0.500  0.000

Space group   No. 12
Crystal system   monoclinic

Model y:
DFT (PBE) results for an optimized crystal structure of Tl2CdAg.

Unit cell a=9.837 b=9.837 c=9.837 alpha=20.35 beta=20.35 gamma=20.35
Positions (direct):
Tl  0.996  0.996  0.996
Tl  0.504  0.504  0.504
Ag  0.250  0.250  0.250
Cd  0.750  0.750  0.750

Space group   No. 166
Crystal system   trigonal

Model z:
DFT (PBE) results for an optimized crystal structure of Tl2CdAg.

Unit cell a=3.424 b=3.424 c=10.247 alpha=80.03 beta=80.03 gamma=60.29
Positions (direct):
Tl  0.082  0.082  0.764
Tl  0.252  0.252  0.236
Cd  0.500  0.500  0.500
Ag  0.666  0.666  0.000

Space group   No. 8
Crystal system   monoclinic

Referenced to the most stable arrangement, the calculated values in meV/atom are model w 0; model x 48; model y 12; model z 24.

Model w:
DFT (PBE) results for an optimized crystal structure of Tl2Cd2Ag.

Unit cell a=4.353 b=4.353 c=8.021 alpha=74.25 beta=74.25 gamma=90.00
Positions (direct):
Tl  0.750  0.250  0.500
Tl  0.250  0.750  0.500
Ag  0.000  0.000  0.000
Cd  0.409  0.409  0.183
Cd  0.591  0.591  0.817

Space group   No. 139
Crystal system   tetragonal

Model x:
DFT (PBE) results for an optimized crystal structure of Tl2Cd2Ag.

Unit cell a=4.023 b=4.023 c=9.033 alpha=77.14 beta=77.14 gamma=90.00
Positions (direct):
Tl  0.408  0.408  0.184
Tl  0.592  0.592  0.816
Ag  0.000  0.000  0.000
Cd  0.750  0.250  0.500
Cd  0.250  0.750  0.500

Space group   No. 139
Crystal system   tetragonal

Referenced to the most stable arrangement, the calculated values in meV/atom are model w 92; model x 0.